Ti3MoIr2 after structural relaxation, computed with PBE.

Calculated values
- energy relative to the elements (eV per atom) = -0.667
- ΔE to the lowest computed polymorph (meV/atom) = 68.0

Cell lengths 3.1331, 3.1331, 9.3481 Å; angles 90.00, 90.00, 90.00 degrees
Positions (direct):
Ir (0.5000, 0.5000, 0.8381)
Mo (0.5000, 0.5000, 0.5000)
Ir (0.5000, 0.5000, 0.1619)
Ti (0.0000, 0.0000, 0.3374)
Ti (0.0000, 0.0000, 0.0000)
Ti (0.0000, 0.0000, 0.6626)

Pr2SmYO6 after structural relaxation, computed with PBE.

Calculated values
- formation energy (no corrections) (eV/atom) = -3.357

Cell lengths 6.0418, 6.0418, 6.2356 Å; angles 61.02, 61.02, 60.00 degrees
Positions (direct):
O (0.9375, 0.6109, 0.2564)
O (0.1952, 0.9374, 0.2564)
O (0.6911, 0.1193, 0.7602)
O (0.1193, 0.4294, 0.7602)
O (0.6109, 0.1952, 0.2564)
Sm (0.8076, 0.8076, 0.5772)
Pr (0.0296, 0.0296, 0.9113)
O (0.4294, 0.6911, 0.7601)
Y (0.3102, 0.3102, 0.0693)
Pr (0.5308, 0.5308, 0.4076)

BaYNbCu2 after structural relaxation, computed with PBE.

Calculated values
- energy relative to the elements (eV per atom) = 1.542

Cell lengths 5.1839, 5.3788, 5.1839 Å; angles 90.00, 90.00, 90.00 degrees
Last column: magnetic moment on the atom in μB.
Positions (direct):
Ba (0.0000, 0.0000, 0.0000)  0.03
Cu (0.0000, 0.0000, 0.5000)  0.03
Cu (0.5000, 0.0000, 0.0000)  0.01
Nb (0.0000, 0.5000, 0.0000)  1.13
Y (0.5000, 0.5000, 0.5000)  0.09

ErNiPd after structural relaxation, computed with PBE.

Calculated values
- energy relative to the elements (eV per atom) = -0.479
- ΔE to the lowest computed polymorph (meV/atom) = 171.7

Cell lengths 3.4248, 3.4248, 5.0787 Å; angles 109.71, 109.71, 90.00 degrees
Positions (direct):
Ni (0.9455, 0.9455, 0.8911)
Pd (0.2915, 0.2915, 0.5829)
Er (0.6130, 0.6130, 0.2260)

Th2MnGe6Os after structural relaxation, computed with PBE.

Calculated values
- energy relative to the elements (eV per atom) = -0.117

Cell lengths 7.5468, 7.5468, 9.9393 Å; angles 67.69, 67.69, 60.00 degrees
Last column: magnetic moment on the atom in μB.
Positions (direct):
Ge (0.8682, 0.3859, 0.3601)  -0.03
Os (0.6078, 0.6078, 0.1767)  0.04
Ge (0.2548, 0.7998, 0.1457)  -0.01
Ge (0.6142, 0.6142, 0.6399)  -0.03
Ge (0.6142, 0.1318, 0.6399)  -0.03
Os (0.3922, 0.3922, 0.8233)  0.04
Mn (0.0000, 0.0000, 0.0000)  1.98
Th (0.7128, 0.7128, 0.8616)  -0.01
Th (0.1351, 0.1351, 0.5946)  0.09
Ge (0.7452, 0.2002, 0.8543)  -0.01
Ge (0.2002, 0.7452, 0.8543)  -0.01
Ge (0.7998, 0.7998, 0.1457)  -0.01
Ge (0.7998, 0.2548, 0.1457)  -0.01
Th (0.8649, 0.8649, 0.4054)  0.09
Ge (0.1318, 0.6142, 0.6399)  -0.03
Ge (0.2002, 0.2002, 0.8543)  -0.01
Th (0.2872, 0.2872, 0.1384)  -0.01
Mn (0.5000, 0.5000, 0.5000)  2.62
Ge (0.3859, 0.8682, 0.3601)  -0.03
Ge (0.3859, 0.3859, 0.3601)  -0.03

CrSn2PN after structural relaxation, computed with PBE.

Calculated values
- formation energy (no corrections) (eV/atom) = 0.396

Cell lengths 5.0646, 3.7559, 5.0646 Å; angles 90.00, 90.00, 90.00 degrees
Last column: magnetic moment on the atom in μB.
Positions (direct):
N (0.0000, 0.0000, 0.0000)  -0.14
Sn (0.0000, 0.0000, 0.5000)  0.00
Sn (0.5000, 0.0000, 0.0000)  -0.01
P (0.5000, 0.5000, 0.5000)  -0.01
Cr (0.0000, 0.5000, 0.0000)  3.00

ScFe4Br after structural relaxation, computed with PBE.

Calculated values
- formation energy (no corrections) (eV/atom) = 0.243

Cell lengths 5.0530, 5.0530, 5.0530 Å; angles 60.00, 60.00, 60.00 degrees
Last column: magnetic moment on the atom in μB.
Positions (direct):
Br (0.0000, 0.0000, 0.0000)  0.17
Fe (0.3772, 0.3772, 0.3772)  2.57
Fe (0.8685, 0.3772, 0.3772)  2.57
Fe (0.3772, 0.3772, 0.8685)  2.57
Sc (0.7500, 0.7500, 0.7500)  -0.47
Fe (0.3772, 0.8685, 0.3772)  2.57

Nd3TmHg2 after structural relaxation, computed with PBE.

Calculated values
- energy relative to the elements (eV per atom) = -0.278
- ΔE to the lowest computed polymorph (meV/atom) = 47.7

Cell lengths 6.9109, 6.8486, 9.2004 Å; angles 111.85, 112.06, 90.00 degrees
Positions (direct):
Nd (0.5000, 0.7500, 0.0000)
Nd (0.5000, 0.2500, 0.0000)
Hg (0.3629, 0.1259, 0.2518)
Tm (0.0000, 0.7500, 0.0000)
Tm (0.0000, 0.2500, 0.0000)
Hg (0.8889, 0.6259, 0.2518)
Nd (0.5746, 0.3177, 0.6354)
Nd (0.4254, 0.6823, 0.3646)
Nd (0.9392, 0.1823, 0.3646)
Hg (0.1111, 0.3741, 0.7482)
Nd (0.0608, 0.8177, 0.6354)
Hg (0.6371, 0.8741, 0.7482)

Number 1: Fermi-level density of states 0.811 states/eV/atom, total magnetization 0.000 μB per atom. Number 2: Fermi-level density of states 0.000 states/eV/atom, total magnetization 0.000 μB per atom. Number 3: Fermi-level density of states 1.169 states/eV/atom, total magnetization 0.315 μB per atom. Number 4: Fermi-level density of states 0.795 states/eV/atom, total magnetization 0.000 μB per atom. Number 5: Fermi-level density of states 0.420 states/eV/atom, total magnetization 0.244 μB per atom. Number 6: Fermi-level density of states 0.507 states/eV/atom, total magnetization 0.631 μB per atom. Number 7: Fermi-level density of states 1.101 states/eV/atom, total magnetization 1.636 μB per atom. Number 8: Fermi-level density of states 0.738 states/eV/atom, total magnetization 0.000 μB per atom.